# Mn2CrMo

Crystalline Mn2CrMo at its relaxed geometry (PBE, the Alexandria database).

abc: 5.8918 5.8918 5.8918
angles: 90.00 90.00 90.00
Fractional positions:
Mn  0.0000  0.0000  0.0000
Mn  0.0000  0.5000  0.5000
Mn  0.2500  0.2500  0.2500
Mn  0.2500  0.7500  0.7500
Mn  0.5000  0.0000  0.5000
Mn  0.5000  0.5000  0.0000
Mn  0.7500  0.2500  0.7500
Mn  0.7500  0.7500  0.2500
Cr  0.2500  0.2500  0.7500
Cr  0.2500  0.7500  0.2500
Cr  0.7500  0.2500  0.2500
Cr  0.7500  0.7500  0.7500
Mo  0.0000  0.0000  0.5000
Mo  0.0000  0.5000  0.0000
Mo  0.5000  0.0000  0.0000
Mo  0.5000  0.5000  0.5000

The energy relative to the elements is 0.097 eV per atom. Its offset from the most stable computed form is 0.007 eV/atom. The calculation puts the volume at 205 Å³/cell. As for the total energy: -9.60 eV per atom.